A geometry-optimized MnH2Cl2O structure. Source: the Alexandria database, functional PBE+U.

Values from the calculation:
Calculated density = 2.38 g/cm³
Electronic total energy = -0.368 Ry per atom
Calculated volume = 402 Å³/cell
Spin magnetization = 20.000 μB per cell
ΔE to the lowest computed polymorph = 0 meV/atom

Geometry as CIF:
```
data_MnH2Cl2O
_cell_length_a 9.1046
_cell_length_b 3.7565
_cell_length_c 11.7629
_cell_angle_alpha 90.00
_cell_angle_beta 90.00
_cell_angle_gamma 90.00
_symmetry_space_group_name_H-M 'P n m a'
_symmetry_Int_Tables_number 62
loop_
_symmetry_equiv_pos_as_xyz
'x,y,z'
'-x,-y,-z'
'-x+1/2,-y,z+1/2'
'x+1/2,y,-z+1/2'
'x+1/2,-y+1/2,-z+1/2'
'-x+1/2,y+1/2,z+1/2'
'-x,y+1/2,-z'
'x,-y+1/2,z'
loop_
_atom_site_label
_atom_site_fract_x
_atom_site_fract_y
_atom_site_fract_z
Mn1 0.1839 0.2500 0.0139
H1 0.0473 0.7500 0.6402
H2 0.1812 0.7500 0.7283
Cl1 0.0419 0.7500 0.1217
Cl2 0.1948 0.2500 0.4005
O1 0.1549 0.7500 0.6473
```